Rb3Pm3GeSe8 | PBE-GGA | optimized geometry

Lattice parameters (Å, degrees): 9.557 9.557 9.557 52.41 52.41 52.41
Sites, in units of the cell vectors:
1 Rb 0.000 0.500 0.500
2 Rb 0.500 0.000 0.500
3 Rb 0.500 0.500 0.000
4 Pm 0.000 0.000 0.500
5 Pm 0.000 0.500 0.000
6 Pm 0.500 0.000 0.000
7 Ge 0.500 0.500 0.500
8 Se 0.233 0.233 0.233
9 Se 0.259 0.713 0.713
10 Se 0.287 0.287 0.741
11 Se 0.287 0.741 0.287
12 Se 0.713 0.259 0.713
13 Se 0.713 0.713 0.259
14 Se 0.741 0.287 0.287
15 Se 0.767 0.767 0.767

Summary:
- symmetry = R-3m (166)
- E_form (uncorrected) (eV/atom) = -1.35
- density of states at the Fermi level (states/eV/atom) = 0.24

Rb2PmGeSe4 | PBE-GGA | optimized geometry

Lattice parameters (Å, degrees): 8.864 8.864 8.864 120.33 119.87 89.83
Sites, in units of the cell vectors:
1 Rb 0.000 0.000 0.000
2 Rb 0.500 0.000 0.000
3 Rb 0.500 0.000 0.500
4 Rb 0.500 0.500 0.500
5 Pm 0.000 0.500 0.500
6 Pm 0.500 0.500 0.000
7 Ge 0.000 0.000 0.500
8 Ge 0.000 0.500 0.000
9 Se 0.188 0.736 0.452
10 Se 0.216 0.264 0.952
11 Se 0.228 0.256 0.529
12 Se 0.228 0.699 0.971
13 Se 0.772 0.301 0.029
14 Se 0.772 0.744 0.471
15 Se 0.784 0.736 0.048
16 Se 0.812 0.264 0.548

Summary:
- symmetry = Imma (74)
- E_form (uncorrected) (eV/atom) = -1.04
- density of states at the Fermi level (states/eV/atom) = 0.68

PmRe2Ge2 | PBE-GGA | optimized geometry

Lattice parameters (Å, degrees): 11.291 11.291 11.291 158.62 158.54 30.47
Sites, in units of the cell vectors:
1 Pm 0.412 0.162 0.250
2 Pm 0.588 0.838 0.750
3 Re 0.215 0.965 0.250
4 Re 0.287 0.537 0.750
5 Re 0.713 0.463 0.250
6 Re 0.785 0.035 0.750
7 Ge 0.029 0.279 0.750
8 Ge 0.145 0.395 0.750
9 Ge 0.855 0.605 0.250
10 Ge 0.971 0.721 0.250

Summary:
- symmetry = Imma (74)
- density of states at the Fermi level (states/eV/atom) = 0.26
- formation energy from the elements (eV per atom) = -0.40

Pm2ReGe6 | PBE-GGA | optimized geometry

Lattice parameters (Å, degrees): 6.816 6.816 4.379 90.00 90.00 109.66
Sites, in units of the cell vectors:
1 Pm 0.249 0.751 0.000
2 Pm 0.751 0.249 0.000
3 Re 0.500 0.500 0.500
4 Ge 0.098 0.371 0.500
5 Ge 0.292 0.292 0.000
6 Ge 0.371 0.098 0.500
7 Ge 0.629 0.902 0.500
8 Ge 0.708 0.708 0.000
9 Ge 0.902 0.629 0.500

Summary:
- symmetry = Cmmm (65)
- density of states at the Fermi level (states/eV/atom) = 0.41
- formation energy from the elements (eV per atom) = -0.24